La2GaCoGe | the Alexandria database | GGA-PBE | relaxed; calculated density = 6.32 Mg/m³; energy above the lowest structure with this stoichiometry = 107.0 meV per atom; volume = 125.91 Å³ per cell; density of states at the Fermi level = 0.79 states/eV per atom; formation energy = -0.4145 eV per atom; symmetry = No. 123; magnetization = 0.0 Bohr magnetons per cell
1.0
5.285 0.000 0.000
0.000 5.285 0.000
0.000 0.000 4.507
La Ga Co Ge
2 1 1 1
direct
0.000 0.500 0.000 La
0.500 0.000 0.000 La
0.000 0.000 0.500 Ga
0.500 0.500 0.000 Co
0.500 0.500 0.500 Ge

InRhCl2 | the Alexandria database | GGA-PBE | relaxed; formation energy without anion corrections = -0.36 eV per atom; calculated density = 4.91 Mg/m³; energy above the lowest structure with this stoichiometry = 87.4 meV per atom; volume = 97.52 Å³ per cell; density of states at the Fermi level = 0.22 states/eV per atom; symmetry = No. 71; magnetization = 0.0 Bohr magnetons per cell
1.0
-1.714 2.772 5.131
1.714 -2.772 5.131
1.714 2.772 -5.131
In Rh Cl
1 1 2
direct
0.000 0.000 0.000 In
0.500 0.500 0.000 Rh
0.340 0.840 0.500 Cl
0.660 0.160 0.500 Cl

Ca6HgPb3 | the Alexandria database | GGA-PBE | relaxed; calculated density = 5.69 Mg/m³; volume = 619.81 Å³ per cell; density of states at the Fermi level = 0.59 states/eV per atom; formation energy = -0.4711 eV per atom; symmetry = No. 11; magnetization = 0.0 Bohr magnetons per cell
1.0
9.741 0.000 0.000
0.000 5.501 0.000
-3.708 0.000 11.567
Ca Hg Pb
12 2 6
direct
0.027 0.250 0.408 Ca
0.150 0.750 0.184 Ca
0.265 0.250 0.999 Ca
0.340 0.750 0.821 Ca
0.366 0.250 0.325 Ca
0.395 0.250 0.617 Ca
0.605 0.750 0.383 Ca
0.634 0.750 0.675 Ca
0.660 0.250 0.179 Ca
0.735 0.750 0.001 Ca
0.850 0.250 0.816 Ca
0.973 0.750 0.592 Ca
0.453 0.750 0.117 Hg
0.547 0.250 0.883 Hg
0.029 0.750 0.898 Pb
0.137 0.250 0.717 Pb
0.289 0.750 0.470 Pb
0.711 0.250 0.530 Pb
0.863 0.750 0.283 Pb
0.971 0.250 0.102 Pb

Pu6HgPb5 | the Alexandria database | GGA-PBE | relaxed; calculated density = 13.61 Mg/m³; volume = 329.58 Å³ per cell; density of states at the Fermi level = 3.66 states/eV per atom; formation energy = -0.1569 eV per atom; symmetry = No. 71; magnetization = 35.7 Bohr magnetons per cell
1.0
-2.421 4.687 7.260
2.421 -4.687 7.260
2.421 4.687 -7.260
Pu Hg Pb
6 1 5
direct
0.083 0.334 0.749 Pu
0.246 0.000 0.246 Pu
0.415 0.666 0.749 Pu
0.585 0.334 0.251 Pu
0.754 0.000 0.754 Pu
0.917 0.666 0.251 Pu
0.000 0.500 0.500 Hg
0.167 0.167 0.000 Pb
0.334 0.834 0.500 Pb
0.500 0.500 0.000 Pb
0.666 0.166 0.500 Pb
0.833 0.833 0.000 Pb

Tb3Pm2Pr5 | the Alexandria database | GGA-PBE | relaxed; calculated density = 6.96 Mg/m³; energy above the lowest structure with this stoichiometry = 0.0 meV per atom; volume = 702.17 Å³ per cell; density of states at the Fermi level = 1.77 states/eV per atom; formation energy = 0.1747 eV per atom; symmetry = No. 15; magnetization = 0.0 Bohr magnetons per cell
1.0
5.485 -7.500 0.000
5.485 7.500 0.000
-5.477 0.000 8.534
Tb Pm Pr
6 4 10
direct
0.020 0.980 0.750 Tb
0.221 0.469 0.445 Tb
0.469 0.221 0.945 Tb
0.531 0.779 0.055 Tb
0.779 0.531 0.555 Tb
0.980 0.020 0.250 Tb
0.031 0.275 0.059 Pm
0.275 0.031 0.559 Pm
0.725 0.969 0.441 Pm
0.969 0.725 0.941 Pm
0.132 0.375 0.754 Pr
0.228 0.772 0.750 Pr
0.268 0.732 0.250 Pr
0.375 0.132 0.254 Pr
0.476 0.524 0.250 Pr
0.524 0.476 0.750 Pr
0.625 0.868 0.746 Pr
0.732 0.268 0.750 Pr
0.772 0.228 0.250 Pr
0.868 0.625 0.246 Pr

La3Pr4Nd4 | the Alexandria database | GGA-PBE | relaxed; calculated density = 6.39 Mg/m³; energy above the lowest structure with this stoichiometry = 0.0 meV per atom; volume = 404.62 Å³ per cell; density of states at the Fermi level = 1.82 states/eV per atom; formation energy = 0.1346 eV per atom; symmetry = No. 38; magnetization = 0.0 Bohr magnetons per cell
1.0
11.057 0.000 0.000
0.000 2.967 6.167
0.000 -2.967 6.167
La Pr Nd
3 4 4
direct
0.000 0.000 0.000 La
0.302 0.146 0.146 La
0.698 0.146 0.146 La
0.000 0.298 0.298 Pr
0.294 0.846 0.846 Pr
0.500 0.363 0.363 Pr
0.706 0.846 0.846 Pr
0.000 0.700 0.700 Nd
0.213 0.499 0.499 Nd
0.500 0.638 0.638 Nd
0.787 0.499 0.499 Nd

Re2SiHgB | the Alexandria database | GGA-PBE | relaxed; formation energy without anion corrections = 1.53 eV per atom; calculated density = 12.74 Mg/m³; volume = 79.74 Å³ per cell; density of states at the Fermi level = 0.84 states/eV per atom; symmetry = No. 123; magnetization = 0.0 Bohr magnetons per cell
1.0
4.631 0.000 0.000
0.000 4.631 0.000
0.000 0.000 3.718
Re Si Hg B
2 1 1 1
direct
0.000 0.500 0.000 Re
0.500 0.000 0.000 Re
0.000 0.000 0.000 Si
0.500 0.500 0.500 Hg
0.000 0.000 0.500 B

NaTeW3 | the Alexandria database | GGA-PBE | relaxed; formation energy without anion corrections = 2.46 eV per atom; calculated density = 9.55 Mg/m³; energy above the lowest structure with this stoichiometry = 0.0 meV per atom; volume = 122.12 Å³ per cell; density of states at the Fermi level = 1.99 states/eV per atom; symmetry = No. 221; magnetization = 0.0 Bohr magnetons per cell
1.0
4.961 0.000 0.000
0.000 4.961 0.000
0.000 0.000 4.961
Na Te W
1 1 3
direct
0.000 0.000 0.000 Na
0.500 0.500 0.500 Te
0.000 0.500 0.500 W
0.500 0.000 0.500 W
0.500 0.500 0.000 W